# 1
Compound: LaCrS3
Source: the Alexandria database
Functional: PBE
Structure: relaxed

Cell: 5.4561 5.4561 5.4561 Å, 90.00 90.00 90.00°
Space group Pm-3m (No. 221)
One atom of each set of equivalent atoms:
La: 0.0000 0.0000 0.0000
Cr: 0.5000 0.5000 0.5000
S: 0.0000 0.0000 0.5000

## Properties
- Raw total energy: -5.38 eV/atom
- Volume: 162 Å³/cell
- Formation energy without anion corrections: 2 meV/atom

# 2
Compound: La3SnN
Source: the Alexandria database
Functional: PBE
Structure: relaxed

Cell: 6.8846 12.3625 7.5033 Å, 90.00 90.00 90.00°
Space group Cmcm (No. 63)
One atom of each set of equivalent atoms:
La: 0.0000 0.0000 0.0000
La: 0.2337 0.2792 0.2500
Sn: 0.0000 0.4526 0.7500
N: 0.0000 0.1205 0.7500

## Properties
- Raw total energy: -6.03 eV/atom
- Volume: 639 Å³/cell
- Formation energy without anion corrections: -603 meV/atom

# 3
Compound: TlAs2C
Source: the Alexandria database
Functional: PBE
Structure: relaxed

Cell: 6.4107 6.4107 7.9220 Å, 90.00 90.00 90.00°
Space group I-42d (No. 122)
One atom of each set of equivalent atoms:
Tl: 0.0000 0.0000 0.0000
As: 0.1360 0.2500 0.6250
C: 0.0000 0.0000 0.5000

## Properties
- Raw total energy: -4.49 eV/atom
- Volume: 326 Å³/cell
- Formation energy: 0.729 eV/atom

# 4
Compound: NaHgHPb2
Source: the Alexandria database
Functional: PBE
Structure: relaxed

Cell: 4.9702 4.9702 4.6454 Å, 90.00 90.00 90.00°
Space group P4/mmm (No. 123)
One atom of each set of equivalent atoms:
Na: 0.0000 0.0000 0.0000
Hg: 0.5000 0.5000 0.0000
H: 0.0000 0.0000 0.5000
Pb: 0.0000 0.5000 0.5000

## Properties
- Raw total energy: -2.42 eV/atom
- Volume: 115 Å³/cell

What is the formula in the first record?
LaCrS3

The highest raw total energy belongs to which entry?
NaHgHPb2

Which value of raw total energy does entry 2 give?
-6.03 eV/atom